No. 1
CePd2Br8 after structural relaxation. Source: Alexandria via LeMat-Bulk, functional PBE.

a = 7.777 Å, b = 7.777 Å, c = 6.985 Å
α = 102.28°, β = 102.28°, γ = 98.66°
Positions (direct):
Ce1 0.000 0.000 0.000
Pd1 0.144 0.144 0.619
Pd2 0.856 0.856 0.381
Br1 0.086 0.737 0.204
Br2 0.253 0.253 0.331
Br3 0.263 0.914 0.796
Br4 0.406 0.406 0.823
Br5 0.594 0.594 0.177
Br6 0.737 0.086 0.204
Br7 0.747 0.747 0.669
Br8 0.914 0.263 0.796

Its formation energy without anion corrections is -0.7082 eV per atom.

---

No. 2
Sm3Te2Se2 after structural relaxation. Source: Alexandria via LeMat-Bulk, functional PBE.

a = 7.618 Å, b = 7.618 Å, c = 7.397 Å
α = 103.71°, β = 103.71°, γ = 33.27°
Positions (direct):
Sm1 0.000 0.000 0.000
Sm2 0.251 0.251 0.739
Sm3 0.749 0.749 0.261
Te1 0.384 0.384 0.155
Te2 0.616 0.616 0.845
Se1 0.137 0.137 0.359
Se2 0.863 0.863 0.641

As for the energy above the most stable polymorph in this dataset: 0.0 meV/atom. Its formation energy without anion corrections is -1.6624 eV per atom.

---

No. 3
TaTi3Pd after structural relaxation. Source: Alexandria via LeMat-Bulk, functional PBE.

a = 4.754 Å, b = 4.754 Å, c = 4.754 Å
α = 90.00°, β = 90.00°, γ = 90.00°
Positions (direct):
Ta1 0.000 0.000 0.000
Ti1 0.000 0.000 0.500
Ti2 0.000 0.500 0.000
Ti3 0.500 0.000 0.000
Pd1 0.500 0.500 0.500

As for the energy above the most stable polymorph in this dataset: 1249.2 meV/atom. The calculation puts the formation energy at 5.20 eV per formula unit.

---

| no. | DFT total energy (eV per atom) | size of the total moment (Bohr magnetons per cell) |
| --- | --- | --- |
| 1 | -3.4085 | 1.1 |
| 2 | -5.5781 | 0.0 |
| 3 | -7.1057 | 0.0 |